# 1
A plane-wave DFT calculation with PBE was carried out for LaPuTl2Se4 after structural relaxation.

Cell and atoms, written as POSCAR:
```
LaPuTl2Se4
1.0
7.5361 0.0000 0.0000
0.0000 4.3402 0.0000
-2.5109 0.0000 7.6860
La Pu Tl Se
1 1 2 4
Cartesian
0.0000 0.0000 0.0000 La
3.7681 2.1701 0.0000 Pu
-1.2554 2.1701 3.8430 Tl
2.5126 0.0000 3.8430 Tl
1.3084 2.1701 1.6202 Se
0.0696 0.0000 6.1106 Se
4.9557 0.0000 1.5754 Se
3.7168 2.1701 6.0658 Se
```

Results
ρ	7.32	g/cm³
volume	31.42	Å³/atom
total magnetic moment	5.0	μB per formula unit
space group	P2/m, No. 10
E_form (uncorrected)	-1.267	eV per atom

=====

# 2
A plane-wave DFT calculation with PBE was carried out for Cs3Pd4Au2 after structural relaxation.

Cell and atoms, written as POSCAR:
```
Cs3Pd4Au2
1.0
6.3947 -2.3548 0.0000
6.3947 2.3548 0.0000
-2.7309 0.0000 8.7997
Cs Pd Au
3 4 2
Cartesian
0.0000 0.0000 0.0000 Cs
2.9430 0.0000 5.5729 Cs
7.1155 0.0000 3.2268 Cs
-0.7216 0.0000 5.5856 Pd
0.4466 0.0000 8.0958 Pd
9.6119 0.0000 0.7039 Pd
10.7800 0.0000 3.2141 Pd
3.7629 0.0000 1.9951 Au
6.2956 0.0000 6.8047 Au
```

Results
ρ	7.63	g/cm³
volume	29.45	Å³/atom
formation enthalpy at 0 K	-96	meV per atom
total magnetic moment	0.0	μB per formula unit
space group	C2/m, No. 12

=====

# 3
A plane-wave DFT calculation with PBE was carried out for ThCrMo2C4 after structural relaxation.

Cell and atoms, written as POSCAR:
```
ThCrMo2C4
1.0
1.6471 -5.5588 0.0000
1.6471 5.5588 0.0000
0.0000 0.0000 10.5777
Th Cr Mo C
2 2 4 8
Cartesian
1.6471 4.4389 7.9333 Th
1.6471 -4.4389 2.6444 Th
1.6471 3.7375 2.6444 Cr
1.6471 -3.7375 7.9333 Cr
1.6471 1.3572 5.7183 Mo
1.6471 1.3572 10.1483 Mo
1.6471 -1.3572 0.4294 Mo
1.6471 -1.3572 4.8594 Mo
0.0000 0.0000 0.0000 C
0.0000 0.0000 5.2889 C
1.6471 2.6132 1.1850 C
1.6471 2.6132 4.1039 C
1.6471 0.8271 7.9333 C
1.6471 -0.8271 2.6444 C
1.6471 -2.6132 6.4738 C
1.6471 -2.6132 9.3927 C
```

Results
ρ	8.98	g/cm³
volume	12.11	Å³/atom
formation enthalpy at 0 K	-57	meV per atom
total magnetic moment	0.0	μB per formula unit
space group	Cmcm, No. 63

=====

# 4
A plane-wave DFT calculation with PBE was carried out for CdIn4 after structural relaxation.

Cell and atoms, written as POSCAR:
```
CdIn4
1.0
5.5294 0.0000 0.0000
0.0000 5.5294 0.0000
0.0000 0.0000 5.5294
Cd In
1 4
Cartesian
0.0000 0.0000 0.0000 Cd
0.0000 0.0000 2.7647 In
0.0000 2.7647 0.0000 In
2.7647 0.0000 0.0000 In
2.7647 2.7647 2.7647 In
```

Results
ρ	5.62	g/cm³
volume	33.81	Å³/atom
formation enthalpy at 0 K	348	meV per atom
total magnetic moment	0.0	μB per formula unit
space group	Pm-3m, No. 221

=====

# 5
A plane-wave DFT calculation with PBE was carried out for TiPdSe2N after structural relaxation.

Cell and atoms, written as POSCAR:
```
TiPdSe2N
1.0
5.0848 0.0000 0.0000
0.0000 5.0848 0.0000
0.0000 0.0000 3.6898
Ti Pd Se N
1 1 2 1
Cartesian
0.0000 0.0000 0.0000 Ti
2.5424 2.5424 1.8449 Pd
0.0000 2.5424 1.8449 Se
2.5424 0.0000 1.8449 Se
2.5424 2.5424 0.0000 N
```

Results
ρ	5.68	g/cm³
volume	19.08	Å³/atom
total magnetic moment	0.0	μB per formula unit
space group	P4/mmm, No. 123
E_form (uncorrected)	0.599	eV per atom

=====

# 6
A plane-wave DFT calculation with PBE was carried out for LiPb3W after structural relaxation.

Cell and atoms, written as POSCAR:
```
LiPb3W
1.0
5.4473 0.0000 0.0000
0.0000 5.4473 0.0000
0.0000 0.0000 5.4473
Li Pb W
1 3 1
Cartesian
0.0000 0.0000 0.0000 Li
0.0000 2.7237 2.7237 Pb
2.7237 0.0000 2.7237 Pb
2.7237 2.7237 0.0000 Pb
2.7237 2.7237 2.7237 W
```

Results
ρ	8.35	g/cm³
volume	32.33	Å³/atom
formation enthalpy at 0 K	554	meV per atom
total magnetic moment	0.0	μB per formula unit
space group	Pm-3m, No. 221

=====

# 7
A plane-wave DFT calculation with PBE was carried out for TaAlAu2 after structural relaxation.

Cell and atoms, written as POSCAR:
```
TaAlAu2
1.0
-1.6503 2.2808 4.5805
1.6503 -2.2808 4.5805
1.6503 2.2808 -4.5805
Ta Al Au
1 1 2
Cartesian
0.0000 0.0000 0.0000 Ta
0.0000 0.0000 4.5805 Al
1.6503 0.0000 2.5425 Au
0.0000 2.2808 2.0380 Au
```

Results
ρ	14.49	g/cm³
volume	17.24	Å³/atom
formation enthalpy at 0 K	3	meV per atom
total magnetic moment	0.0	μB per formula unit
space group	Immm, No. 71

=====

# 8
A plane-wave DFT calculation with PBE was carried out for LiLuCdHg after structural relaxation.

Cell and atoms, written as POSCAR:
```
LiLuCdHg
1.0
0.0000 3.5061 3.5061
3.5061 0.0000 3.5061
3.5061 3.5061 0.0000
Li Lu Cd Hg
1 1 1 1
Cartesian
0.0000 0.0000 0.0000 Li
3.5061 3.5061 3.5061 Lu
1.7531 1.7531 1.7531 Cd
5.2592 5.2592 5.2592 Hg
```

Results
ρ	9.53	g/cm³
volume	21.55	Å³/atom
formation enthalpy at 0 K	-323	meV per atom
total magnetic moment	0.0	μB per formula unit
space group	F-43m, No. 216

=====

Which formula does entry 4 have?
CdIn4

=====

What is the volume in the sixth record?
32.33 Å³/atom